[1]
{"formula": "CuMoW2", "functional": "PBE", "state": "relaxed", "lattice_angstrom": [[3.205, 0.000, 0.000], [0.000, 4.351, 0.000], [0.000, 0.000, 8.730]], "species": ["Cu", "Cu", "Mo", "Mo", "W", "W", "W", "W"], "frac_coords": [[0.000, 0.000, 0.000], [0.500, 0.500, 0.000], [0.000, 0.000, 0.500], [0.500, 0.500, 0.500], [0.000, 0.500, 0.242], [0.000, 0.500, 0.758], [0.500, 0.000, 0.242], [0.500, 0.000, 0.758]], "sg": "Cmmm", "formation_enthalpy_0k_ev_per_atom": 0.187, "crystal_system": "orthorhombic", "mass_density_g_cm3": 14.38}

=====

[2]
{"formula": "CuMo2W", "functional": "PBE", "state": "relaxed", "lattice_angstrom": [[2.649, 0.000, 0.000], [0.000, 2.649, 0.000], [0.000, 0.000, 8.680]], "species": ["Cu", "Mo", "Mo", "W"], "frac_coords": [[0.000, 0.000, 0.000], [0.500, 0.500, 0.234], [0.500, 0.500, 0.766], [0.000, 0.000, 0.500]], "sg": "P4/mmm", "formation_enthalpy_0k_ev_per_atom": 0.278, "crystal_system": "tetragonal", "mass_density_g_cm3": 11.98}

=====

[3]
{"formula": "CuMo2W", "functional": "PBE", "state": "relaxed", "lattice_angstrom": [[2.657, 0.000, 0.000], [0.000, 4.471, 0.000], [-0.782, 0.000, 5.127]], "species": ["Cu", "Mo", "Mo", "W"], "frac_coords": [[0.000, 0.000, 0.000], [0.466, 0.000, 0.500], [0.700, 0.500, 0.242], [0.207, 0.500, 0.747]], "sg": "Pm", "formation_enthalpy_0k_ev_per_atom": 0.226, "crystal_system": "monoclinic", "mass_density_g_cm3": 11.98}

=====

[4]
{"formula": "CuMoW2", "functional": "PBE", "state": "relaxed", "lattice_angstrom": [[3.221, 0.000, 0.000], [0.000, 4.338, 0.000], [0.000, 0.000, 8.721]], "species": ["Cu", "Cu", "Mo", "Mo", "W", "W", "W", "W"], "frac_coords": [[0.000, 0.000, 0.000], [0.500, 0.500, 0.000], [0.000, 0.500, 0.243], [0.500, 0.000, 0.243], [0.000, 0.000, 0.500], [0.000, 0.500, 0.759], [0.500, 0.000, 0.759], [0.500, 0.500, 0.500]], "sg": "Cmm2", "formation_enthalpy_0k_ev_per_atom": 0.167, "crystal_system": "orthorhombic", "mass_density_g_cm3": 14.37}

=====

[5]
{"formula": "CuMoW2", "functional": "PBE", "state": "relaxed", "lattice_angstrom": [[5.459, 0.000, 0.000], [0.000, 8.963, 0.000], [-0.947, 0.000, 2.498]], "species": ["Cu", "Cu", "Mo", "Mo", "W", "W", "W", "W"], "frac_coords": [[0.000, 0.000, 0.000], [0.500, 0.500, 0.000], [0.000, 0.500, 0.000], [0.500, 0.000, 0.000], [0.250, 0.250, 0.500], [0.250, 0.750, 0.500], [0.750, 0.250, 0.500], [0.750, 0.750, 0.500]], "sg": "C2/m", "formation_enthalpy_0k_ev_per_atom": 0.247, "crystal_system": "monoclinic", "mass_density_g_cm3": 14.32}

=====

[6]
{"formula": "CuMo2W", "functional": "PBE", "state": "relaxed", "lattice_angstrom": [[3.297, 0.000, 0.000], [0.000, 4.330, 0.000], [0.000, 0.000, 8.536]], "species": ["Cu", "Cu", "Mo", "Mo", "Mo", "Mo", "W", "W"], "frac_coords": [[0.000, 0.000, 0.000], [0.500, 0.500, 0.500], [0.000, 0.000, 0.501], [0.000, 0.500, 0.761], [0.500, 0.000, 0.261], [0.500, 0.500, 0.001], [0.000, 0.500, 0.242], [0.500, 0.000, 0.742]], "sg": "Imm2", "formation_enthalpy_0k_ev_per_atom": 0.271, "crystal_system": "orthorhombic", "mass_density_g_cm3": 11.97}